# 1
A plane-wave DFT calculation with PBE was carried out for a geometry-optimized DyFe2C6 structure.

It has space group Immm (No. 71), with a = 3.747 Å, b = 5.826 Å, c = 7.448 Å, α = 90.00°, β = 90.00° and γ = 90.00°. The inequivalent atoms are Dy at (0.000, 0.000, 0.000), Fe at (0.000, 0.500, 0.199), C at (0.000, 0.128, 0.500) and C at (0.000, 0.225, 0.323).

For the final energy, the calculation gives -7.72 eV per atom. The calculation puts the total magnetization at 0.02 μB per formula unit.



# 2
A plane-wave DFT calculation with PBE was carried out for a geometry-optimized Dy2Fe14C structure.

It has space group P4_2/mnm (No. 136), with a = 8.712 Å, b = 8.712 Å, c = 11.709 Å, α = 90.00°, β = 90.00° and γ = 90.00°. The inequivalent atoms are Dy at (0.144, 0.144, 0.000), Dy at (0.240, 0.240, 0.500), Fe at (0.000, 0.000, 0.392), Fe at (0.000, 0.500, 0.000), Fe at (0.036, 0.642, 0.175), Fe at (0.065, 0.725, 0.380), Fe at (0.097, 0.903, 0.204), Fe at (0.184, 0.184, 0.254) and C at (0.127, 0.873, 0.500).

For the final energy, the calculation gives -8.00 eV per atom. The calculation puts the total magnetization at 29.99 μB per formula unit.



# 3
A plane-wave DFT calculation with PBE was carried out for a geometry-optimized Dy2FeC2 structure.

It has space group C2/m (No. 12), with a = 10.862 Å, b = 5.030 Å, c = 6.660 Å, α = 90.00°, β = 121.55° and γ = 90.00°. The inequivalent atoms are Dy at (0.042, 0.000, 0.284), Dy at (0.183, 0.500, 0.112), Fe at (0.129, 0.500, 0.631), C at (0.015, 0.500, 0.299) and C at (0.184, 0.000, 0.108).

For the final energy, the calculation gives -7.47 eV per atom. The calculation puts the total magnetization at 0.79 μB per formula unit.



# 4
A plane-wave DFT calculation with PBE was carried out for a geometry-optimized Dy2Fe17C3 structure.

It has space group R-3m (No. 166, hexagonal axes), with a = 8.6046 Å, b = 8.6046 Å, c = 12.4776 Å, α = 90.00°, β = 90.00° and γ = 120.00°. The inequivalent atoms are Dy at (0.0000, 0.0000, 0.1571), Fe at (0.0000, 0.0000, 0.4046), Fe at (0.0000, 0.2836, 0.5000), Fe at (0.0000, 0.5000, 0.0000), Fe at (0.0078, 0.5039, 0.3472) and C at (0.0000, 0.5000, 0.5000).

For the final energy, the calculation gives -8.18 eV per atom. The calculation puts the total magnetization at 34.29 μB per formula unit.



# 5
A plane-wave DFT calculation with PBE was carried out for a geometry-optimized GdDyFe2Ge2C structure.

It has space group Cm (No. 8), with a = 10.728 Å, b = 3.983 Å, c = 6.853 Å, α = 90.00°, β = 128.72° and γ = 90.00°. The inequivalent atoms are Gd at (0.000, 0.000, 0.000), Dy at (0.115, 0.000, 0.579), Fe at (0.254, 0.500, 0.380), Fe at (0.363, 0.000, 0.202), Ge at (0.222, 0.500, 0.002), Ge at (0.394, 0.000, 0.578) and C at (0.059, 0.500, 0.293).

For the final energy, the calculation gives -6.94 eV per atom. The calculation puts the total magnetization at 0.01 μB per formula unit.



# 6
A plane-wave DFT calculation with PBE was carried out for a geometry-optimized GdDyFe2Si2C structure.

It has space group Cm (No. 8), with a = 10.594 Å, b = 3.937 Å, c = 6.775 Å, α = 90.00°, β = 129.58° and γ = 90.00°. The inequivalent atoms are Gd at (0.000, 0.000, 0.000), Dy at (0.381, 0.500, 0.412), Fe at (0.140, 0.500, 0.799), Fe at (0.239, 0.000, 0.610), Si at (0.102, 0.500, 0.424), Si at (0.277, 0.000, 0.987) and C at (0.439, 0.000, 0.702).

For the final energy, the calculation gives -7.25 eV per atom. The calculation puts the total magnetization at 0.01 μB per formula unit.



# 7
A plane-wave DFT calculation with PBE was carried out for a geometry-optimized DyHoFe2Ge2C structure.

It has space group Cm (No. 8), with a = 10.682 Å, b = 3.964 Å, c = 6.807 Å, α = 90.00°, β = 128.68° and γ = 90.00°. The inequivalent atoms are Dy at (0.000, 0.000, 0.000), Ho at (0.385, 0.500, 0.422), Fe at (0.138, 0.500, 0.800), Fe at (0.246, 0.000, 0.621), Ge at (0.105, 0.500, 0.420), Ge at (0.280, 0.000, 0.002) and C at (0.442, 0.000, 0.710).

For the final energy, the calculation gives -6.94 eV per atom. The calculation puts the total magnetization at 0.01 μB per formula unit.



# 8
A plane-wave DFT calculation with PBE was carried out for a geometry-optimized DyLuFe2Ge2C structure.

It has space group Cm (No. 8), with a = 10.607 Å, b = 3.938 Å, c = 6.743 Å, α = 90.00°, β = 128.47° and γ = 90.00°. The inequivalent atoms are Dy at (0.000, 0.000, 0.000), Lu at (0.386, 0.500, 0.425), Fe at (0.138, 0.500, 0.800), Fe at (0.244, 0.000, 0.618), Ge at (0.104, 0.500, 0.417), Ge at (0.281, 0.000, 0.005) and C at (0.440, 0.000, 0.705).

For the final energy, the calculation gives -6.92 eV per atom. The calculation puts the total magnetization at 0.01 μB per formula unit.



# 9
A plane-wave DFT calculation with PBE was carried out for a geometry-optimized DyLuFe2Ge2C structure.

It has space group Cm (No. 8), with a = 10.620 Å, b = 3.938 Å, c = 6.746 Å, α = 90.00°, β = 128.57° and γ = 90.00°. The inequivalent atoms are Dy at (0.000, 0.000, 0.000), Lu at (0.385, 0.500, 0.424), Fe at (0.138, 0.500, 0.799), Fe at (0.244, 0.000, 0.618), Ge at (0.103, 0.500, 0.417), Ge at (0.281, 0.000, 0.005) and C at (0.440, 0.000, 0.705).

For the final energy, the calculation gives -6.92 eV per atom. The calculation puts the total magnetization at 0.01 μB per formula unit.



# 10
A plane-wave DFT calculation with PBE was carried out for a geometry-optimized NdDyFe2Ge2C structure.

It has space group Cm (No. 8), with a = 10.800 Å, b = 4.017 Å, c = 6.933 Å, α = 90.00°, β = 128.77° and γ = 90.00°. The inequivalent atoms are Nd at (0.000, 0.000, 0.000), Dy at (0.114, 0.000, 0.581), Fe at (0.255, 0.500, 0.385), Fe at (0.366, 0.000, 0.209), Ge at (0.226, 0.500, 0.012), Ge at (0.391, 0.000, 0.575) and C at (0.062, 0.500, 0.305).

For the final energy, the calculation gives -6.93 eV per atom. The calculation puts the total magnetization at 0.01 μB per formula unit.



# 11
A plane-wave DFT calculation with PBE was carried out for a geometry-optimized Dy2Fe2SiGeC structure.

It has space group Cm (No. 8), with a = 10.613 Å, b = 3.947 Å, c = 6.775 Å, α = 90.00°, β = 129.07° and γ = 90.00°. The inequivalent atoms are Dy at (0.000, 0.000, 0.000), Dy at (0.117, 0.000, 0.583), Fe at (0.254, 0.500, 0.378), Fe at (0.356, 0.000, 0.191), Si at (0.224, 0.500, 0.010), Ge at (0.400, 0.000, 0.583) and C at (0.057, 0.500, 0.289).

For the final energy, the calculation gives -7.09 eV per atom. The calculation puts the total magnetization at 0.01 μB per formula unit.



# 12
A plane-wave DFT calculation with PBE was carried out for a geometry-optimized TbDyFe2Ge2C structure.

It has space group Cm (No. 8), with a = 10.715 Å, b = 3.978 Å, c = 6.842 Å, α = 90.00°, β = 128.75° and γ = 90.00°. The inequivalent atoms are Tb at (0.000, 0.000, 0.000), Dy at (0.115, 0.000, 0.578), Fe at (0.254, 0.500, 0.379), Fe at (0.362, 0.000, 0.201), Ge at (0.221, 0.500, 0.001), Ge at (0.394, 0.000, 0.579) and C at (0.058, 0.500, 0.291).

For the final energy, the calculation gives -6.94 eV per atom. The calculation puts the total magnetization at 0.02 μB per formula unit.



# 13
A plane-wave DFT calculation with PBE was carried out for a geometry-optimized Dy2Fe4IrC4 structure.

It has space group Fmmm (No. 69), with a = 5.039 Å, b = 9.569 Å, c = 10.317 Å, α = 90.00°, β = 90.00° and γ = 90.00°. The inequivalent atoms are Dy at (0.000, 0.000, 0.151), Fe at (0.250, 0.250, 0.000), Fe at (0.250, 0.250, 0.250), Ir at (0.000, 0.000, 0.500) and C at (0.000, 0.168, 0.366).

For the final energy, the calculation gives -8.20 eV per atom. The calculation puts the total magnetization at 0.01 μB per formula unit.



# 14
A plane-wave DFT calculation with PBE was carried out for a geometry-optimized Dy2FeSi2MoC structure.

It has space group Cm (No. 8), with a = 10.914 Å, b = 3.822 Å, c = 6.995 Å, α = 90.00°, β = 127.48° and γ = 90.00°. The inequivalent atoms are Dy at (0.000, 0.000, 0.000), Dy at (0.139, 0.000, 0.594), Fe at (0.366, 0.000, 0.211), Si at (0.226, 0.500, 0.992), Si at (0.440, 0.000, 0.619), Mo at (0.269, 0.500, 0.382) and C at (0.059, 0.500, 0.290).

For the final energy, the calculation gives -7.51 eV per atom. The calculation puts the total magnetization at 0.44 μB per formula unit.



# 15
A plane-wave DFT calculation with PBE was carried out for a geometry-optimized DyScFe2Si2C structure.

It has space group Cm (No. 8), with a = 10.403 Å, b = 3.859 Å, c = 6.591 Å, α = 90.00°, β = 129.25° and γ = 90.00°. The inequivalent atoms are Dy at (0.000, 0.000, 0.000), Sc at (0.119, 0.000, 0.655), Fe at (0.266, 0.500, 0.139), Fe at (0.359, 0.000, 0.522), Si at (0.217, 0.500, 0.438), Si at (0.404, 0.000, 0.225) and C at (0.066, 0.500, 0.824).

For the final energy, the calculation gives -7.48 eV per atom. The calculation puts the total magnetization at 0.02 μB per formula unit.



# 16
A plane-wave DFT calculation with PBE was carried out for a geometry-optimized SrDyFe2Si2C structure.

It has space group Cm (No. 8), with a = 10.817 Å, b = 3.998 Å, c = 7.014 Å, α = 90.00°, β = 129.73° and γ = 90.00°. The inequivalent atoms are Sr at (0.000, 0.000, 0.000), Dy at (0.380, 0.500, 0.406), Fe at (0.127, 0.500, 0.775), Fe at (0.235, 0.000, 0.598), Si at (0.107, 0.500, 0.433), Si at (0.260, 0.000, 0.952) and C at (0.429, 0.000, 0.675).

For the final energy, the calculation gives -6.60 eV per atom. The calculation puts the total magnetization at 0.02 μB per formula unit.



# 17
A plane-wave DFT calculation with PBE was carried out for a geometry-optimized TbDyFe2Si2C structure.

It has space group Cm (No. 8), with a = 10.582 Å, b = 3.930 Å, c = 6.757 Å, α = 90.00°, β = 129.63° and γ = 90.00°. The inequivalent atoms are Tb at (0.000, 0.000, 0.000), Dy at (0.381, 0.500, 0.412), Fe at (0.141, 0.500, 0.801), Fe at (0.239, 0.000, 0.611), Si at (0.102, 0.500, 0.423), Si at (0.279, 0.000, 0.989) and C at (0.440, 0.000, 0.706).

For the final energy, the calculation gives -7.25 eV per atom. The calculation puts the total magnetization at 0.00 μB per formula unit.



# 18
A plane-wave DFT calculation with PBE was carried out for a geometry-optimized DyTmFe2Si2C structure.

It has space group Cm (No. 8), with a = 10.522 Å, b = 3.905 Å, c = 6.692 Å, α = 90.00°, β = 129.46° and γ = 90.00°. The inequivalent atoms are Dy at (0.000, 0.000, 0.000), Tm at (0.119, 0.000, 0.587), Fe at (0.262, 0.500, 0.392), Fe at (0.359, 0.000, 0.199), Si at (0.220, 0.500, 0.007), Si at (0.400, 0.000, 0.580) and C at (0.061, 0.500, 0.298).

For the final energy, the calculation gives -7.23 eV per atom. The calculation puts the total magnetization at 0.01 μB per formula unit.



# 19
A plane-wave DFT calculation with PBE was carried out for a geometry-optimized Dy2FeSi2WC structure.

It has space group Cm (No. 8), with a = 10.863 Å, b = 3.817 Å, c = 6.996 Å, α = 90.00°, β = 127.09° and γ = 90.00°. The inequivalent atoms are Dy at (0.000, 0.000, 0.000), Dy at (0.141, 0.000, 0.593), Fe at (0.366, 0.000, 0.213), Si at (0.226, 0.500, 0.989), Si at (0.442, 0.000, 0.623), W at (0.272, 0.500, 0.381) and C at (0.060, 0.500, 0.290).

For the final energy, the calculation gives -7.78 eV per atom. The calculation puts the total magnetization at 0.61 μB per formula unit.



# 20
A plane-wave DFT calculation with PBE was carried out for a geometry-optimized DyYFe2Si2C structure.

It has space group Cm (No. 8), with a = 10.573 Å, b = 3.930 Å, c = 6.741 Å, α = 90.00°, β = 129.45° and γ = 90.00°. The inequivalent atoms are Dy at (0.000, 0.000, 0.000), Y at (0.382, 0.500, 0.412), Fe at (0.142, 0.500, 0.801), Fe at (0.241, 0.000, 0.612), Si at (0.104, 0.500, 0.424), Si at (0.278, 0.000, 0.988) and C at (0.442, 0.000, 0.707).

For the final energy, the calculation gives -7.51 eV per atom. The calculation puts the total magnetization at 0.00 μB per formula unit.



# 21
A plane-wave DFT calculation with PBE was carried out for a geometry-optimized DyYFe2Sn2C structure.

It has space group Cm (No. 8), with a = 11.224 Å, b = 4.094 Å, c = 7.188 Å, α = 90.00°, β = 127.33° and γ = 90.00°. The inequivalent atoms are Dy at (0.000, 0.000, 0.000), Y at (0.410, 0.500, 0.469), Fe at (0.138, 0.500, 0.810), Fe at (0.274, 0.000, 0.662), Sn at (0.121, 0.500, 0.437), Sn at (0.290, 0.000, 0.034) and C at (0.456, 0.000, 0.737).

For the final energy, the calculation gives -6.81 eV per atom. The calculation puts the total magnetization at 0.02 μB per formula unit.